A plane-wave DFT calculation with PBE was carried out for crystalline Ca3Ge4Pt2 at its relaxed geometry.

Cell: 4.404 5.781 8.603 Å, 105.71 90.00 112.39°
Sites, in units of the cell vectors:
Ca  0.626  0.253  0.691
Ca  0.374  0.747  0.309
Ca  0.000  0.000  0.000
Pt  0.337  0.675  0.678
Pt  0.663  0.325  0.322
Ge  0.111  0.222  0.427
Ge  0.889  0.778  0.573
Ge  0.284  0.568  0.937
Ge  0.716  0.432  0.063

## Properties
Fermi-level density of states: 3.36 states/eV/f.u.
Total energy: -43.57 eV/cell
Space group: No. 12